Computed, not measured: a geometry-optimized Zr3ReI structure at the PBE-GGA level of DFT.

Cell: 5.1516 5.1516 5.1516 Å, 90.00 90.00 90.00°
Closest atoms and distances in Å follow each position.
Sites, in units of the cell vectors:
I 0.5000 0.5000 0.5000  12 Zr 3.64
Zr 0.0000 0.0000 0.5000  2 Re 2.58
Zr 0.0000 0.5000 0.0000  2 Re 2.58
Zr 0.5000 0.0000 0.0000  2 Re 2.58
Re 0.0000 0.0000 0.0000  6 Zr 2.58

D(E_F) in states/eV/atom: 0.73
Uncorrected formation energy in meV/atom: 500
Size of the total moment in μB/atom: 0.00

Computed, not measured: a geometry-optimized RhI structure at the PBE-GGA level of DFT.

Cell: 3.8101 3.8101 3.2094 Å, 90.00 90.00 90.00°
Closest atoms and distances in Å follow each position.
Sites, in units of the cell vectors:
I 0.0000 0.0000 0.5000  4 Rh 2.69
Rh 0.5000 0.5000 0.5000  4 I 2.69

D(E_F) in states/eV/atom: 1.05
Uncorrected formation energy in meV/atom: 595
Size of the total moment in μB/atom: 0.00

Computed, not measured: a geometry-optimized RhI structure at the PBE-GGA level of DFT.

Cell: 11.3973 11.3973 3.8714 Å, 90.00 90.00 90.00°
Closest atoms and distances in Å follow each position.
Sites, in units of the cell vectors:
Rh 0.0711 0.4070 0.5000  3 I 2.62-2.87, 5 Rh 2.67-2.75
Rh 0.5713 0.9015 0.0000  3 I 2.62-2.77, 5 Rh 2.71-2.77
Rh 0.9289 0.5930 0.5000  3 I 2.62-2.87, 5 Rh 2.67-2.75
Rh 0.0985 0.5713 0.0000  3 I 2.62-2.77, 5 Rh 2.71-2.77
Rh 0.4070 0.9289 0.5000  3 I 2.62-2.87, 5 Rh 2.67-2.75
Rh 0.9015 0.4287 0.0000  3 I 2.62-2.77, 5 Rh 2.71-2.77
Rh 0.4287 0.0985 0.0000  3 I 2.62-2.77, 5 Rh 2.71-2.77
Rh 0.5930 0.0711 0.5000  3 I 2.62-2.87, 5 Rh 2.67-2.75
I 0.5814 0.7469 0.5000  3 Rh 2.62-2.87
I 0.0685 0.2517 0.0000  3 Rh 2.62-2.77
I 0.7482 0.0685 0.0000  3 Rh 2.62-2.77
I 0.9315 0.7482 0.0000  3 Rh 2.62-2.77
I 0.4186 0.2531 0.5000  3 Rh 2.62-2.87
I 0.2517 0.9315 0.0000  3 Rh 2.62-2.77
I 0.2531 0.5814 0.5000  3 Rh 2.62-2.87
I 0.7469 0.4186 0.5000  3 Rh 2.62-2.87

D(E_F) in states/eV/atom: 1.48
Uncorrected formation energy in meV/atom: 90
Size of the total moment in μB/atom: 0.00

Computed, not measured: a geometry-optimized RhI structure at the PBE-GGA level of DFT.

Cell: 10.6831 10.6831 4.2205 Å, 90.00 90.00 90.00°
Closest atoms and distances in Å follow each position.
Sites, in units of the cell vectors:
Rh 0.8024 0.6858 0.0000  4 I 2.60-2.74, 2 Rh 2.75
Rh 0.1858 0.6976 0.5000  4 I 2.60-2.74, 2 Rh 2.75
Rh 0.3024 0.1858 0.5000  4 I 2.60-2.74, 2 Rh 2.75
Rh 0.6976 0.8142 0.5000  4 I 2.60-2.74, 2 Rh 2.75
Rh 0.8142 0.3024 0.5000  4 I 2.60-2.74, 2 Rh 2.75
Rh 0.6858 0.1976 0.0000  4 I 2.60-2.74, 2 Rh 2.75
Rh 0.3142 0.8024 0.0000  4 I 2.60-2.74, 2 Rh 2.75
Rh 0.1976 0.3142 0.0000  4 I 2.60-2.74, 2 Rh 2.75
I 0.5609 0.7736 0.0000  4 Rh 2.60-2.74
I 0.9391 0.7264 0.5000  4 Rh 2.60-2.74
I 0.4391 0.2264 0.0000  4 Rh 2.60-2.74
I 0.0609 0.2736 0.5000  4 Rh 2.60-2.74
I 0.7264 0.0609 0.5000  4 Rh 2.60-2.74
I 0.2736 0.9391 0.5000  4 Rh 2.60-2.74
I 0.7736 0.4391 0.0000  4 Rh 2.60-2.74
I 0.2264 0.5609 0.0000  4 Rh 2.60-2.74

D(E_F) in states/eV/atom: 0.92
Uncorrected formation energy in meV/atom: 219
Size of the total moment in μB/atom: 0.00

Computed, not measured: a geometry-optimized RhI structure at the PBE-GGA level of DFT.

Cell: 8.1618 8.1618 8.1618 Å, 90.00 90.00 90.00°
Closest atoms and distances in Å follow each position.
Sites, in units of the cell vectors:
I 0.6938 0.3062 0.6938  4 Rh 2.60-2.71
I 0.6938 0.6938 0.3062  4 Rh 2.60-2.71
I 0.3062 0.3062 0.3062  4 Rh 2.60-2.71
I 0.3062 0.6938 0.6938  4 Rh 2.60-2.71
I 0.1938 0.1938 0.8062  4 Rh 2.60-2.71
I 0.1938 0.8062 0.1938  4 Rh 2.60-2.71
I 0.8062 0.1938 0.1938  4 Rh 2.60-2.71
I 0.8062 0.8062 0.8062  4 Rh 2.60-2.71
Rh 0.1223 0.1223 0.1223  4 I 2.60-2.71, 3 Rh 2.82
Rh 0.6223 0.6223 0.6223  4 I 2.60-2.71, 3 Rh 2.82
Rh 0.8777 0.8777 0.1223  4 I 2.60-2.71, 3 Rh 2.82
Rh 0.3777 0.3777 0.6223  4 I 2.60-2.71, 3 Rh 2.82
Rh 0.8777 0.1223 0.8777  4 I 2.60-2.71, 3 Rh 2.82
Rh 0.1223 0.8777 0.8777  4 I 2.60-2.71, 3 Rh 2.82
Rh 0.3777 0.6223 0.3777  4 I 2.60-2.71, 3 Rh 2.82
Rh 0.6223 0.3777 0.3777  4 I 2.60-2.71, 3 Rh 2.82

D(E_F) in states/eV/atom: 0.94
Uncorrected formation energy in meV/atom: 342
Size of the total moment in μB/atom: 0.43

Computed, not measured: a geometry-optimized RhI structure at the PBE-GGA level of DFT.

Cell: 3.6375 3.6375 7.1240 Å, 90.00 90.00 90.00°
Closest atoms and distances in Å follow each position.
Sites, in units of the cell vectors:
I 0.5000 0.5000 0.0210  5 Rh 2.69-2.72
I 0.0000 0.0000 0.5210  5 Rh 2.69-2.72
Rh 0.0000 0.0000 0.1441  5 I 2.69-2.72
Rh 0.5000 0.5000 0.6441  5 I 2.69-2.72

D(E_F) in states/eV/atom: 0.47
Uncorrected formation energy in meV/atom: 390
Size of the total moment in μB/atom: 0.00

Computed, not measured: a geometry-optimized RhI structure at the PBE-GGA level of DFT.

Cell: 4.0784 4.0785 7.4570 Å, 90.00 90.00 120.00°
Closest atoms and distances in Å follow each position.
Sites, in units of the cell vectors:
Rh 0.3333 0.6667 0.3649  4 I 2.60-2.63
Rh 0.6667 0.3333 0.8649  4 I 2.60-2.63
I 0.3333 0.6667 0.7171  4 Rh 2.60-2.63
I 0.6667 0.3333 0.2171  4 Rh 2.60-2.63

D(E_F) in states/eV/atom: 1.25
Uncorrected formation energy in meV/atom: 381
Size of the total moment in μB/atom: 0.00

Computed, not measured: a geometry-optimized RhI structure at the PBE-GGA level of DFT.

Cell: 5.5882 5.5882 5.5882 Å, 90.00 90.00 90.00°
Closest atoms and distances in Å follow each position.
Sites, in units of the cell vectors:
I 0.5000 0.0000 0.5000  6 Rh 2.79
I 0.0000 0.5000 0.5000  6 Rh 2.79
I 0.0000 0.0000 0.0000  6 Rh 2.79
I 0.5000 0.5000 0.0000  6 Rh 2.79
Rh 0.5000 0.5000 0.5000  6 I 2.79
Rh 0.5000 0.0000 0.0000  6 I 2.79
Rh 0.0000 0.5000 0.0000  6 I 2.79
Rh 0.0000 0.0000 0.5000  6 I 2.79

D(E_F) in states/eV/atom: 1.36
Uncorrected formation energy in meV/atom: 406
Size of the total moment in μB/atom: 0.18

Computed, not measured: a geometry-optimized RhI structure at the PBE-GGA level of DFT.

Cell: 7.5618 7.6717 7.5056 Å, 90.00 90.00 90.00°
Closest atoms and distances in Å follow each position.
Sites, in units of the cell vectors:
I 0.6599 0.3623 0.6362  4 Rh 2.62-2.77
I 0.6762 0.1439 0.1742  4 Rh 2.61-2.66
I 0.3401 0.8623 0.8638  4 Rh 2.62-2.77
I 0.1762 0.3561 0.8258  4 Rh 2.61-2.66
I 0.8238 0.8561 0.6742  4 Rh 2.61-2.66
I 0.3238 0.6439 0.3258  4 Rh 2.61-2.66
I 0.8401 0.6377 0.1362  4 Rh 2.62-2.77
I 0.1599 0.1377 0.3638  4 Rh 2.62-2.77
Rh 0.3895 0.5736 0.6589  4 I 2.61-2.72, 2 Rh 2.72-2.76
Rh 0.1572 0.8353 0.5650  4 I 2.64-2.77, 2 Rh 2.72-2.76
Rh 0.1105 0.4264 0.1589  4 I 2.61-2.72, 2 Rh 2.72-2.76
Rh 0.8895 0.9264 0.3411  4 I 2.61-2.72, 2 Rh 2.72-2.76
Rh 0.3428 0.1647 0.0650  4 I 2.64-2.77, 2 Rh 2.72-2.76
Rh 0.8428 0.3353 0.9350  4 I 2.64-2.77, 2 Rh 2.72-2.76
Rh 0.6105 0.0736 0.8411  4 I 2.61-2.72, 2 Rh 2.72-2.76
Rh 0.6572 0.6647 0.4350  4 I 2.64-2.77, 2 Rh 2.72-2.76

D(E_F) in states/eV/atom: 0.84
Uncorrected formation energy in meV/atom: 247
Size of the total moment in μB/atom: 0.00

Computed, not measured: a geometry-optimized RhI structure at the PBE-GGA level of DFT.

Cell: 4.2617 4.2496 4.2517 Å, 60.03 59.88 59.84°
Closest atoms and distances in Å follow each position.
Sites, in units of the cell vectors:
Rh 0.0673 0.1342 0.8661  4 I 2.60
I 0.3174 0.3834 0.1159  4 Rh 2.60

D(E_F) in states/eV/atom: 1.36
Uncorrected formation energy in meV/atom: 386
Size of the total moment in μB/atom: 0.00

Computed, not measured: a geometry-optimized RhI structure at the PBE-GGA level of DFT.

Cell: 4.1094 6.0722 12.7407 Å, 90.00 90.00 90.00°
Closest atoms and distances in Å follow each position.
Sites, in units of the cell vectors:
I 0.0000 0.8197 0.5000  4 Rh 2.60-2.65
I 0.0000 0.7056 0.1627  4 Rh 2.61-2.80
I 0.0000 0.7056 0.8373  4 Rh 2.61-2.80
I 0.5000 0.2944 0.6627  4 Rh 2.61-2.80
I 0.5000 0.1803 0.0000  4 Rh 2.60-2.65
I 0.5000 0.2944 0.3373  4 Rh 2.61-2.80
Rh 0.0000 0.0311 0.3182  4 I 2.61-2.80, 2 Rh 2.72
Rh 0.5000 0.9689 0.1818  4 I 2.61-2.80, 2 Rh 2.72
Rh 0.0000 0.0311 0.6818  4 I 2.61-2.80, 2 Rh 2.72
Rh 0.5000 0.5579 0.5000  4 I 2.60-2.62
Rh 0.0000 0.4421 0.0000  4 I 2.60-2.62
Rh 0.5000 0.9689 0.8182  4 I 2.61-2.80, 2 Rh 2.72

D(E_F) in states/eV/atom: 1.11
Uncorrected formation energy in meV/atom: 295
Size of the total moment in μB/atom: 0.00

Computed, not measured: a geometry-optimized RhI structure at the PBE-GGA level of DFT.

Cell: 7.5486 7.5486 3.8922 Å, 90.00 90.00 90.00°
Closest atoms and distances in Å follow each position.
Sites, in units of the cell vectors:
Rh 0.6261 0.6261 0.5000  4 I 2.61-2.62, 1 Rh 2.69
Rh 0.3739 0.3739 0.5000  4 I 2.61-2.62, 1 Rh 2.69
Rh 0.8739 0.1261 0.0000  4 I 2.61-2.62, 1 Rh 2.69
Rh 0.1261 0.8739 0.0000  4 I 2.61-2.62, 1 Rh 2.69
I 0.7109 0.2891 0.5000  4 Rh 2.61-2.62
I 0.7891 0.7891 0.0000  4 Rh 2.61-2.62
I 0.2109 0.2109 0.0000  4 Rh 2.61-2.62
I 0.2891 0.7109 0.5000  4 Rh 2.61-2.62

D(E_F) in states/eV/atom: 0.71
Uncorrected formation energy in meV/atom: 230
Size of the total moment in μB/atom: 0.00